[1]
A plane-wave DFT calculation with GGA-PBE was carried out for an optimized crystal structure of MnMo2Br.

ΔE_f (raw) (eV per atom): 0.825
Relative energy among the computed polymorphs (kJ/mol of atoms): 47.1
Symmetry: Pmmm
Fermi-level density of states (states/eV/cell): 4.36
Total magnetic moment (Bohr magnetons per cell): 2.86

Cell lengths 3.062, 4.457, 4.783 Å; angles 90.00, 90.00, 90.00 degrees
Sites, in units of the cell vectors:
Mn  0.000  0.000  0.000
Mo  0.000  0.500  0.500
Mo  0.500  0.000  0.500
Br  0.500  0.500  0.000

***

[2]
A plane-wave DFT calculation with GGA-PBE was carried out for an optimized crystal structure of Mn2MoBr.

ΔE_f (raw) (eV per atom): 1.215
Relative energy among the computed polymorphs (kJ/mol of atoms): 84.8
Symmetry: I-42d
Fermi-level density of states (states/eV/cell): 6.98
Total magnetic moment (Bohr magnetons per cell): 0.00

Cell lengths 6.456, 6.456, 6.456 Å; angles 130.24, 130.24, 73.02 degrees
Sites, in units of the cell vectors:
Mn  0.124  0.625  0.999
Mn  0.375  0.374  0.499
Mn  0.626  0.125  0.001
Mn  0.875  0.876  0.501
Mo  0.000  0.000  0.000
Mo  0.750  0.250  0.500
Br  0.250  0.750  0.500
Br  0.500  0.500  0.000

***

[3]
A plane-wave DFT calculation with GGA-PBE was carried out for an optimized crystal structure of Mn2MoBr.

ΔE_f (raw) (eV per atom): 0.463
Relative energy among the computed polymorphs (kJ/mol of atoms): 12.3
Symmetry: P4mm
Fermi-level density of states (states/eV/cell): 3.57
Total magnetic moment (Bohr magnetons per cell): 4.56

Cell lengths 3.085, 3.085, 6.917 Å; angles 90.00, 90.00, 90.00 degrees
Sites, in units of the cell vectors:
Mn  0.000  0.000  0.000
Mn  0.500  0.500  0.223
Mo  0.000  0.000  0.402
Br  0.500  0.500  0.721

***

[4]
A plane-wave DFT calculation with GGA-PBE was carried out for an optimized crystal structure of Mn4MoBr.

ΔE_f (raw) (eV per atom): 0.726
Symmetry: F-43m
Fermi-level density of states (states/eV/cell): 8.02
Total magnetic moment (Bohr magnetons per cell): 7.15

Cell lengths 4.901, 4.901, 4.901 Å; angles 60.00, 60.00, 60.00 degrees
Sites, in units of the cell vectors:
Mn  0.124  0.124  0.124
Mn  0.124  0.124  0.628
Mn  0.124  0.628  0.124
Mn  0.628  0.124  0.124
Mo  0.750  0.750  0.750
Br  0.500  0.500  0.500